No. 1
Dy2GaGe GGA-PBE relaxed; electronic total energy = -16.5 eV/f.u.
1.0
3.212 0.000 0.000
0.000 2.923 5.803
0.000 -2.923 5.803
Dy Ga Ge
2 1 1
direct
0.000 0.000 0.000 Dy
0.000 0.294 0.294 Dy
0.000 0.546 0.546 Ga
0.000 0.760 0.760 Ge

=====

No. 2
DyGa2Ge2 GGA-PBE relaxed; electronic total energy = -20.9 eV/f.u.
1.0
-2.062 2.062 6.043
2.062 -2.062 6.043
2.062 2.062 -6.043
Dy Ga Ge
1 2 2
direct
0.000 0.000 0.000 Dy
0.250 0.750 0.500 Ga
0.750 0.250 0.500 Ga
0.397 0.397 0.000 Ge
0.603 0.603 0.000 Ge

=====

No. 3
DyHo2Ga3NiGe2 GGA-PBE relaxed; electronic total energy = -44.1 eV/f.u.
1.0
4.136 0.000 0.000
0.000 6.037 3.485
0.000 -6.037 3.485
Dy Ho Ga Ni Ge
1 2 3 1 2
direct
0.000 0.000 0.000 Dy
0.000 0.201 0.601 Ho
0.000 0.601 0.201 Ho
0.500 0.372 0.372 Ga
0.500 0.601 0.829 Ga
0.500 0.829 0.601 Ga
0.000 0.600 0.600 Ni
0.500 0.267 0.934 Ge
0.500 0.934 0.267 Ge

=====

No. 4
Dy3In2GaGe2Ir GGA-PBE relaxed; electronic total energy = -47.0 eV/f.u.
1.0
4.286 0.000 0.000
0.000 6.292 3.579
0.000 -6.292 3.579
Dy In Ga Ge Ir
3 2 1 2 1
direct
0.000 0.000 0.000 Dy
0.000 0.417 0.822 Dy
0.000 0.822 0.417 Dy
0.500 0.174 0.417 In
0.500 0.417 0.174 In
0.500 0.652 0.652 Ga
0.500 0.072 0.748 Ge
0.500 0.748 0.072 Ge
0.000 0.434 0.434 Ir

=====

No. 5
Dy3In2GaGe2Pd GGA-PBE relaxed; electronic total energy = -43.2 eV/f.u.
1.0
4.300 0.000 0.000
0.000 6.350 3.586
0.000 -6.350 3.586
Dy In Ga Ge Pd
3 2 1 2 1
direct
0.000 0.000 0.000 Dy
0.000 0.419 0.827 Dy
0.000 0.827 0.419 Dy
0.500 0.175 0.419 In
0.500 0.419 0.175 In
0.500 0.659 0.659 Ga
0.500 0.073 0.748 Ge
0.500 0.748 0.073 Ge
0.000 0.435 0.435 Pd

=====

No. 6
Dy3In2GaGe2Pt GGA-PBE relaxed; electronic total energy = -44.4 eV/f.u.
1.0
4.285 0.000 0.000
0.000 6.383 3.564
0.000 -6.383 3.564
Dy In Ga Ge Pt
3 2 1 2 1
direct
0.000 0.000 0.000 Dy
0.000 0.417 0.824 Dy
0.000 0.824 0.417 Dy
0.500 0.173 0.417 In
0.500 0.417 0.173 In
0.500 0.657 0.657 Ga
0.500 0.071 0.747 Ge
0.500 0.747 0.071 Ge
0.000 0.435 0.435 Pt

=====

No. 7
Dy3Ga3Ni2Ge GGA-PBE relaxed; polymorph energy (0 for the lowest one) = 3.095 eV/f.u.
1.0
7.775 0.000 0.000
-3.888 6.733 0.000
0.000 0.000 3.425
Dy Ga Ni Ge
3 3 2 1
direct
0.000 0.305 0.000 Dy
0.305 0.000 0.000 Dy
0.695 0.695 0.000 Dy
0.000 0.620 0.500 Ga
0.380 0.380 0.500 Ga
0.620 0.000 0.500 Ga
0.333 0.667 0.000 Ni
0.667 0.333 0.000 Ni
0.000 0.000 0.500 Ge

=====

No. 8
Dy3Ga3Ni2Ge GGA-PBE relaxed; polymorph energy (0 for the lowest one) = 0.000 eV/f.u.
1.0
7.255 0.000 0.000
-3.628 6.283 0.000
0.000 0.000 3.750
Dy Ga Ni Ge
3 3 2 1
direct
0.000 0.601 0.000 Dy
0.399 0.399 0.000 Dy
0.601 0.000 0.000 Dy
0.000 0.278 0.500 Ga
0.278 0.000 0.500 Ga
0.722 0.722 0.500 Ga
0.333 0.667 0.500 Ni
0.667 0.333 0.500 Ni
0.000 0.000 0.000 Ge

=====

No. 9
Dy3Ga2NiGe3 GGA-PBE relaxed; electronic total energy = -44.8 eV/f.u.
1.0
7.014 0.000 0.000
-3.507 6.075 0.000
0.000 0.000 4.136
Dy Ga Ni Ge
3 2 1 3
direct
0.000 0.612 0.000 Dy
0.388 0.388 0.000 Dy
0.612 0.000 0.000 Dy
0.333 0.667 0.500 Ga
0.667 0.333 0.500 Ga
0.000 0.000 0.000 Ni
0.000 0.243 0.500 Ge
0.243 0.000 0.500 Ge
0.757 0.757 0.500 Ge

=====

No. 10
DyTm2Ga3NiGe2 GGA-PBE relaxed; electronic total energy = -43.8 eV/f.u.
1.0
4.122 0.000 0.000
0.000 6.019 3.464
0.000 -6.019 3.464
Dy Tm Ga Ni Ge
1 2 3 1 2
direct
0.000 0.000 0.000 Dy
0.000 0.200 0.600 Tm
0.000 0.600 0.200 Tm
0.500 0.369 0.369 Ga
0.500 0.598 0.829 Ga
0.500 0.829 0.598 Ga
0.000 0.597 0.597 Ni
0.500 0.268 0.932 Ge
0.500 0.932 0.268 Ge

=====

no.,magnetization (μB per formula unit)
1,0.0
2,0.0
3,0.0
4,0.0
5,0.0
6,0.0
7,0.0
8,0.0
9,0.0
10,0.0